*i*
# Rb2YCl5, relaxed, DFT GGA-PBE
# magnetic moment = 0.00 Bohr magnetons per cell
data_Rb2YCl5
_chemical_formula_sum 'Rb8 Y4 Cl20'
_space_group_name_H-M_alt 'P n m a'
_space_group_IT_number 62
_cell_length_a 9.752
_cell_length_b 7.434
_cell_length_c 14.928
_cell_angle_alpha 90.00
_cell_angle_beta 90.00
_cell_angle_gamma 90.00
loop_
_space_group_symop_operation_xyz
'x,y,z'
'-x,-y,-z'
'-x+1/2,-y,z+1/2'
'x+1/2,y,-z+1/2'
'x+1/2,-y+1/2,-z+1/2'
'-x+1/2,y+1/2,z+1/2'
'-x,y+1/2,-z'
'x,-y+1/2,z'
loop_
_atom_site_label
_atom_site_type_symbol
_atom_site_fract_x
_atom_site_fract_y
_atom_site_fract_z
Rb1 Rb 0.022 0.250 0.215
Rb2 Rb 0.160 0.750 0.416
Y1 Y 0.185 0.750 0.061
Cl1 Cl 0.000 0.000 0.000
Cl2 Cl 0.040 0.750 0.207
Cl3 Cl 0.153 0.507 0.610
Cl4 Cl 0.224 0.250 0.393



*ii*
# Rb2YCl5, relaxed, DFT GGA-PBE
# magnetic moment = 0.00 Bohr magnetons per cell
data_Rb2YCl5
_chemical_formula_sum 'Rb4 Y2 Cl10'
_space_group_name_H-M_alt 'C 1 m 1'
_space_group_IT_number 8
_cell_length_a 12.301
_cell_length_b 8.039
_cell_length_c 8.040
_cell_angle_alpha 90.00
_cell_angle_beta 130.63
_cell_angle_gamma 90.00
loop_
_space_group_symop_operation_xyz
'x,y,z'
'x,-y,z'
'x+1/2,y+1/2,z'
'x+1/2,-y+1/2,z'
loop_
_atom_site_label
_atom_site_type_symbol
_atom_site_fract_x
_atom_site_fract_y
_atom_site_fract_z
Rb1 Rb 0.000 0.000 0.000
Rb2 Rb 0.000 0.500 0.498
Y1 Y 0.270 0.000 0.770
Cl1 Cl 0.035 0.500 0.037
Cl2 Cl 0.216 0.226 0.941
Cl3 Cl 0.219 0.225 0.492



It turns out *i* is the most stable, with the second structure 79 meV per atom higher.



*i*
# Rb2ZnCl, relaxed, DFT GGA-PBE
# magnetic moment = 3.63 Bohr magnetons per cell
data_Rb2ZnCl
_chemical_formula_sum 'Rb8 Zn4 Cl4'
_space_group_name_H-M_alt 'F m -3 m'
_space_group_IT_number 225
_space_group_name_Hall '-F 4 2 3'
_cell_length_a 8.599
_cell_length_b 8.599
_cell_length_c 8.599
_cell_angle_alpha 90.00
_cell_angle_beta 90.00
_cell_angle_gamma 90.00
loop_
_atom_site_label
_atom_site_type_symbol
_atom_site_fract_x
_atom_site_fract_y
_atom_site_fract_z
Rb1 Rb 0.250 0.250 0.250
Zn1 Zn 0.000 0.000 0.000
Cl1 Cl 0.000 0.000 0.500



*ii*
# Rb2ZnCl, relaxed, DFT GGA-PBE
# magnetic moment = 0.00 Bohr magnetons per cell
data_Rb2ZnCl
_chemical_formula_sum 'Rb8 Zn4 Cl4'
_space_group_name_H-M_alt 'I -4 2 d'
_space_group_IT_number 122
_space_group_name_Hall 'I -4 2bw'
_cell_length_a 9.182
_cell_length_b 9.182
_cell_length_c 9.549
_cell_angle_alpha 90.00
_cell_angle_beta 90.00
_cell_angle_gamma 90.00
loop_
_atom_site_label
_atom_site_type_symbol
_atom_site_fract_x
_atom_site_fract_y
_atom_site_fract_z
Rb1 Rb 0.200 0.250 0.125
Zn1 Zn 0.000 0.000 0.500
Cl1 Cl 0.000 0.000 0.000



It turns out *ii* is the most stable, with the second structure 73 meV per atom higher.



*i*
# RbZn2Cl, relaxed, DFT GGA-PBE
# magnetic moment = 0.00 Bohr magnetons per cell
data_RbZn2Cl
_chemical_formula_sum 'Rb4 Zn8 Cl4'
_space_group_name_H-M_alt 'F m -3 m'
_space_group_IT_number 225
_space_group_name_Hall '-F 4 2 3'
_cell_length_a 8.161
_cell_length_b 8.161
_cell_length_c 8.161
_cell_angle_alpha 90.00
_cell_angle_beta 90.00
_cell_angle_gamma 90.00
loop_
_atom_site_label
_atom_site_type_symbol
_atom_site_fract_x
_atom_site_fract_y
_atom_site_fract_z
Rb1 Rb 0.000 0.000 0.000
Zn1 Zn 0.250 0.250 0.250
Cl1 Cl 0.000 0.000 0.500



*ii*
# RbZn2Cl, relaxed, DFT GGA-PBE
# magnetic moment = 0.00 Bohr magnetons per cell
data_RbZn2Cl
_chemical_formula_sum 'Rb4 Zn8 Cl4'
_space_group_name_H-M_alt 'I -4 2 d'
_space_group_IT_number 122
_space_group_name_Hall 'I -4 2bw'
_cell_length_a 9.507
_cell_length_b 9.507
_cell_length_c 6.187
_cell_angle_alpha 90.00
_cell_angle_beta 90.00
_cell_angle_gamma 90.00
loop_
_atom_site_label
_atom_site_type_symbol
_atom_site_fract_x
_atom_site_fract_y
_atom_site_fract_z
Rb1 Rb 0.000 0.000 0.000
Zn1 Zn 0.217 0.250 0.625
Cl1 Cl 0.000 0.000 0.500



It turns out *ii* is the most stable, with the second structure 111 meV per atom higher.